# BaCd2NiF8

A geometry-optimized BaCd2NiF8 structure (PBE with a Hubbard U, the Alexandria database).

Properties
uncorrected energy: -51.9 eV/f.u.
magnetization: 0.163 μB/atom
ρ: 4.969 g cm⁻³
space group: P2/m, No. 10

Unit cell a=4.914 b=7.312 c=5.328 alpha=90.00 beta=91.23 gamma=90.00
Sites, in units of the cell vectors:
Ba 0.000 0.000 0.000
Cd 0.500 0.271 0.500
Cd 0.500 0.729 0.500
Ni 0.000 0.500 0.000
F 0.154 0.298 0.225
F 0.154 0.702 0.225
F 0.319 0.500 0.743
F 0.427 0.000 0.728
F 0.573 0.000 0.272
F 0.681 0.500 0.257
F 0.846 0.298 0.775
F 0.846 0.702 0.775